No. 1
Compound: UNiGe2
Source: Alexandria via LeMat-Bulk
Functional: PBE
Structure: optimized geometry

Space group: Cm (8)
Energy of formation from the pure elements (meV per atom): -213

Lattice parameters (Å, degrees): 5.369 5.369 4.073 111.47 111.47 44.51
Atoms (fractional coordinates):
U: 0.000 0.000 0.000
Ni: 0.250 0.250 0.759
Ge: 0.365 0.365 0.369
Ge: 0.634 0.634 0.616

No. 2
Compound: UNi6Ge
Source: Alexandria via LeMat-Bulk
Functional: PBE
Structure: optimized geometry

Space group: P-6m2 (187)
Energy of formation from the pure elements (meV per atom): -180

Lattice parameters (Å, degrees): 5.207 5.207 4.309 90.00 90.00 120.00
Atoms (fractional coordinates):
U: 0.000 0.000 0.000
Ni: 0.348 0.174 0.500
Ni: 0.502 0.003 0.000
Ni: 0.502 0.498 0.000
Ni: 0.826 0.174 0.500
Ni: 0.826 0.652 0.500
Ni: 0.997 0.498 0.000
Ge: 0.333 0.667 0.500